Entry 1:
Computed, not measured: Ca2AlCdH after structural relaxation at the PBE level of DFT.

As for the offset from the most stable computed form: 0 meV/atom. Its calculated total energy is -13.264 eV per cell.

The structure belongs to space group P4/mmm (No. 123); the cell edges are 5.158, 5.158 and 4.000 Å and the angles 90.00°, 90.00° and 90.00°. Symmetry generates all atoms from Ca at (0.000, 0.500, 0.000), Al at (0.000, 0.000, 0.500), Cd at (0.500, 0.500, 0.500) and H at (0.000, 0.000, 0.000).

=====

Entry 2:
Computed, not measured: Pu3Bi2Au2 after structural relaxation at the PBE level of DFT.

The formation energy is -0.398 eV per atom. Its calculated total energy is -120.194 eV per cell.

The structure belongs to space group Cmmm (No. 65); the cell edges are 4.640, 23.286 and 3.395 Å and the angles 90.00°, 90.00° and 90.00°. Symmetry generates all atoms from Pu at (0.000, 0.000, 0.000), Pu at (0.000, 0.165, 0.000), Bi at (0.000, 0.419, 0.500) and Au at (0.000, 0.284, 0.500).

=====

Repeat the second record exactly.
Computed, not measured: Pu3Bi2Au2 after structural relaxation at the PBE level of DFT.

The formation energy is -0.398 eV per atom. Its calculated total energy is -120.194 eV per cell.

The structure belongs to space group Cmmm (No. 65); the cell edges are 4.640, 23.286 and 3.395 Å and the angles 90.00°, 90.00° and 90.00°. Symmetry generates all atoms from Pu at (0.000, 0.000, 0.000), Pu at (0.000, 0.165, 0.000), Bi at (0.000, 0.419, 0.500) and Au at (0.000, 0.284, 0.500).

=====

Among the records above, which one has the highest calculated total energy? Ca2AlCdH